Record 1
{
  "formula": "LiYZnTe3",
  "functional": "PBE",
  "state": "optimized geometry",
  "cell": [[12.6185, 0.0000, 0.0000], [0.0000, 4.2785, 0.0000], [0.0000, 0.0000, 12.9378]],
  "species": ["Li", "Li", "Li", "Li", "Te", "Te", "Te", "Te", "Te", "Te", "Te", "Te", "Te", "Te", "Te", "Te", "Y", "Y", "Y", "Y", "Zn", "Zn", "Zn", "Zn"],
  "frac_coords": [[0.0121, 0.0000, 0.1201], [0.5121, 0.5000, 0.3799], [0.4879, 0.0000, 0.6201], [0.9879, 0.5000, 0.8799], [0.8589, 0.5000, 0.0683], [0.4258, 0.0000, 0.0893], [0.1580, 0.5000, 0.2150], [0.6580, 0.0000, 0.2850], [0.9258, 0.5000, 0.4107], [0.3589, 0.0000, 0.4317], [0.6411, 0.5000, 0.5683], [0.0742, 0.0000, 0.5893], [0.3420, 0.5000, 0.7150], [0.8420, 0.0000, 0.7850], [0.5742, 0.5000, 0.9107], [0.1411, 0.0000, 0.9317], [0.6778, 0.0000, 0.0464], [0.1778, 0.5000, 0.4536], [0.8222, 0.0000, 0.5464], [0.3222, 0.5000, 0.9536], [0.2863, 0.0000, 0.2373], [0.7863, 0.5000, 0.2627], [0.2137, 0.0000, 0.7373], [0.7137, 0.5000, 0.7627]],
  "total_magnetization_mub_per_cell": 0.00,
  "crystal_system": "orthorhombic",
  "space_group": "Pnma (62)",
  "de_polymorph_ev_per_fu": 0.33
}

Record 2
{
  "formula": "AcGaAu",
  "functional": "PBE",
  "state": "optimized geometry",
  "cell": [[3.6950, -3.1018, -1.8808], [2.1234, -3.6267, 3.0250], [-1.0109, -5.0051, -0.8594]],
  "species": ["Ac", "Au", "Ga"],
  "frac_coords": [[0.0000, 0.0000, 0.0000], [0.2500, 0.2500, 0.2500], [0.7500, 0.7500, 0.7500]],
  "total_magnetization_mub_per_cell": 0.00,
  "crystal_system": "cubic",
  "space_group": "F-43m (216)",
  "de_polymorph_ev_per_fu": 1.86
}

Record 3
{
  "formula": "Rb2CdSnF6",
  "functional": "PBE",
  "state": "optimized geometry",
  "cell": [[-3.4543, -4.2984, 4.8574], [0.0077, -6.1962, -3.9509], [5.6341, -0.0354, 2.2220]],
  "species": ["Cd", "Cd", "F", "F", "F", "F", "F", "F", "F", "F", "F", "F", "F", "F", "Rb", "Rb", "Rb", "Rb", "Sn", "Sn"],
  "frac_coords": [[0.9884, 0.0116, 0.2500], [0.0116, 0.9884, 0.7500], [0.2481, 0.8561, 0.0010], [0.5846, 0.6410, 0.0024], [0.0970, 0.2148, 0.0453], [0.7852, 0.9030, 0.4547], [0.3590, 0.4154, 0.4976], [0.1439, 0.7519, 0.4990], [0.8561, 0.2481, 0.5010], [0.6410, 0.5846, 0.5024], [0.2148, 0.0970, 0.5453], [0.9030, 0.7852, 0.9547], [0.4154, 0.3590, 0.9976], [0.7519, 0.1439, 0.9990], [0.9046, 0.5237, 0.2473], [0.4763, 0.0954, 0.2527], [0.5237, 0.9046, 0.7473], [0.0954, 0.4763, 0.7527], [0.3800, 0.6200, 0.2500], [0.6200, 0.3800, 0.7500]],
  "crystal_system": "monoclinic",
  "e_tot_ha_per_atom": -0.1489,
  "space_group": "C2/c (15)"
}

Record 4
{
  "formula": "RbPrCuTe3",
  "functional": "PBE",
  "state": "optimized geometry",
  "cell": [[-6.3847, 4.4157, -3.6391], [4.4186, -2.3888, 6.9480], [7.1991, 9.2599, -1.3946]],
  "species": ["Cu", "Cu", "Pr", "Pr", "Rb", "Rb", "Te", "Te", "Te", "Te", "Te", "Te"],
  "frac_coords": [[0.0338, 0.9662, 0.2500], [0.9662, 0.0338, 0.7500], [0.5000, 0.5000, 0.0000], [0.5000, 0.5000, 0.5000], [0.7576, 0.2424, 0.2500], [0.2424, 0.7576, 0.7500], [0.1300, 0.8700, 0.0718], [0.4365, 0.5635, 0.2500], [0.1300, 0.8700, 0.4282], [0.8700, 0.1300, 0.5718], [0.5635, 0.4365, 0.7500], [0.8700, 0.1300, 0.9282]],
  "total_magnetization_mub_per_cell": 0.04,
  "crystal_system": "orthorhombic",
  "e_tot_ha_per_atom": -0.1490,
  "space_group": "Cmcm (63)"
}

Record 5
{
  "formula": "BaTcAsO",
  "functional": "PBE",
  "state": "optimized geometry",
  "cell": [[-0.1562, -3.5267, 2.5122], [2.0186, -2.2833, -3.0798], [8.6625, 2.3956, 3.9017]],
  "species": ["As", "As", "Ba", "Ba", "O", "O", "Tc", "Tc"],
  "frac_coords": [[0.7500, 0.7500, 0.3817], [0.2500, 0.2500, 0.6183], [0.2500, 0.2500, 0.1325], [0.7500, 0.7500, 0.8675], [0.7500, 0.2500, 0.0000], [0.2500, 0.7500, 0.0000], [0.7500, 0.2500, 0.5000], [0.2500, 0.7500, 0.5000]],
  "total_magnetization_mub_per_cell": 1.63,
  "crystal_system": "tetragonal",
  "space_group": "P4/nmm (129)",
  "de_polymorph_ev_per_fu": 0.00
}

Record 6
{
  "formula": "LaTb2Pb7",
  "functional": "PBE",
  "state": "optimized geometry",
  "cell": [[2.3884, -12.9356, 0.0000], [2.3884, 12.9356, 0.0000], [0.0000, 0.0000, 4.7845]],
  "species": ["La", "Pb", "Pb", "Pb", "Pb", "Pb", "Pb", "Pb", "Tb", "Tb"],
  "frac_coords": [[0.0000, 0.0000, 0.0000], [0.5994, 0.4006, 0.0000], [0.4006, 0.5994, 0.0000], [0.8998, 0.1002, 0.5000], [0.7064, 0.2936, 0.5000], [0.5000, 0.5000, 0.5000], [0.2936, 0.7064, 0.5000], [0.1002, 0.8998, 0.5000], [0.8103, 0.1897, 0.0000], [0.1897, 0.8103, 0.0000]],
  "total_magnetization_mub_per_cell": 0.01,
  "crystal_system": "orthorhombic",
  "e_tot_ha_per_atom": -0.1626,
  "space_group": "Cmmm (65)"
}

Record 7
{
  "formula": "BeAsIrO",
  "functional": "PBE",
  "state": "optimized geometry",
  "cell": [[2.8671, 0.0000, 0.0000], [0.0000, 5.6225, 0.0000], [0.0000, 0.0000, 6.5813]],
  "species": ["As", "As", "Be", "Be", "Ir", "Ir", "O", "O"],
  "frac_coords": [[0.0000, 0.2480, 0.3812], [0.0000, 0.7520, 0.8812], [0.0000, 0.6495, 0.3940], [0.0000, 0.3505, 0.8940], [0.5000, 0.0073, 0.1176], [0.5000, 0.9927, 0.6176], [0.5000, 0.7588, 0.3612], [0.5000, 0.2412, 0.8612]],
  "total_magnetization_mub_per_cell": 0.00,
  "crystal_system": "orthorhombic",
  "space_group": "Pmc2_1 (26)",
  "de_polymorph_ev_per_fu": 0.92
}

Record 8
{
  "formula": "Tm3In3Ni2Ir",
  "functional": "PBE",
  "state": "optimized geometry",
  "cell": [[7.3633, 0.0000, 0.0000], [-3.6817, 6.3768, 0.0000], [0.0000, 0.0000, 3.9134]],
  "species": ["In", "In", "In", "Ir", "Ni", "Ni", "Tm", "Tm", "Tm"],
  "frac_coords": [[0.7332, 0.0000, 0.5000], [0.2668, 0.2668, 0.5000], [0.0000, 0.7332, 0.5000], [0.0000, 0.0000, 0.0000], [0.6667, 0.3333, 0.5000], [0.3333, 0.6667, 0.5000], [0.4016, 0.0000, 0.0000], [0.0000, 0.4016, 0.0000], [0.5984, 0.5984, 0.0000]],
  "total_magnetization_mub_per_cell": 0.00,
  "crystal_system": "hexagonal",
  "e_tot_ha_per_atom": -0.1898,
  "space_group": "P-62m (189)"
}

Record 9
{
  "formula": "Er12CdCo6",
  "functional": "PBE",
  "state": "optimized geometry",
  "cell": [[-4.7743, 4.7743, 4.7743], [4.7743, -4.7743, 4.7743], [4.7743, 4.7743, -4.7743]],
  "species": ["Cd", "Co", "Co", "Co", "Co", "Co", "Co", "Er", "Er", "Er", "Er", "Er", "Er", "Er", "Er", "Er", "Er", "Er", "Er"],
  "frac_coords": [[0.0000, 0.0000, 0.0000], [0.6140, 0.5000, 0.1140], [0.5000, 0.8860, 0.3860], [0.8860, 0.3860, 0.5000], [0.1140, 0.6140, 0.5000], [0.5000, 0.1140, 0.6140], [0.3860, 0.5000, 0.8860], [0.8061, 0.3025, 0.1086], [0.3025, 0.4965, 0.1939], [0.6975, 0.8914, 0.1939], [0.4965, 0.1939, 0.3025], [0.1086, 0.8061, 0.3025], [0.1939, 0.3025, 0.4965], [0.8061, 0.6975, 0.5035], [0.8914, 0.1939, 0.6975], [0.5035, 0.8061, 0.6975], [0.3025, 0.1086, 0.8061], [0.6975, 0.5035, 0.8061], [0.1939, 0.6975, 0.8914]],
  "total_magnetization_mub_per_cell": 0.10,
  "crystal_system": "cubic",
  "formation_energy_ev_per_atom": -0.241,
  "space_group": "Im-3 (204)"
}

Record 10
{
  "formula": "HfAg2Au2",
  "functional": "PBE",
  "state": "optimized geometry",
  "cell": [[-1.9127, 1.9127, 6.6036], [1.9127, -1.9127, 6.6036], [1.9127, 1.9127, -6.6036]],
  "species": ["Ag", "Ag", "Au", "Au", "Hf"],
  "frac_coords": [[0.7500, 0.2500, 0.5000], [0.2500, 0.7500, 0.5000], [0.4016, 0.4016, 0.0000], [0.5984, 0.5984, 0.0000], [0.0000, 0.0000, 0.0000]],
  "total_magnetization_mub_per_cell": 0.01,
  "crystal_system": "tetragonal",
  "formation_energy_ev_per_atom": -0.006,
  "space_group": "I4/mmm (139)"
}

Record 11
{
  "formula": "HfZn2Ir",
  "functional": "PBE",
  "state": "optimized geometry",
  "cell": [[0.0000, 3.1699, 3.1699], [3.1699, 0.0000, 3.1699], [3.1699, 3.1699, 0.0000]],
  "species": ["Hf", "Ir", "Zn", "Zn"],
  "frac_coords": [[0.7500, 0.7500, 0.7500], [0.5000, 0.5000, 0.5000], [0.0000, 0.0000, 0.0000], [0.2500, 0.2500, 0.2500]],
  "total_magnetization_mub_per_cell": 0.00,
  "crystal_system": "cubic",
  "formation_energy_ev_per_atom": -0.419,
  "space_group": "F-43m (216)"
}

Record 12
{
  "formula": "Ta2CoB",
  "functional": "PBE",
  "state": "optimized geometry",
  "cell": [[0.0000, 3.0193, 3.0193], [3.0193, 0.0000, 3.0193], [3.0193, 3.0193, 0.0000]],
  "species": ["B", "Co", "Ta", "Ta"],
  "frac_coords": [[0.5000, 0.5000, 0.5000], [0.2500, 0.2500, 0.2500], [0.0000, 0.0000, 0.0000], [0.7500, 0.7500, 0.7500]],
  "total_magnetization_mub_per_cell": 2.10,
  "crystal_system": "cubic",
  "e_tot_ha_per_atom": -0.3186,
  "space_group": "F-43m (216)"
}

Record 13
{
  "formula": "Al2CuBi",
  "functional": "PBE",
  "state": "optimized geometry",
  "cell": [[-0.2483, 2.5295, 4.1301], [-2.7471, 3.9892, 0.2387], [-4.0842, -0.0214, 2.6146]],
  "species": ["Al", "Al", "Bi", "Cu"],
  "frac_coords": [[0.0000, 0.0000, 0.0000], [0.7500, 0.7500, 0.7500], [0.5000, 0.5000, 0.5000], [0.2500, 0.2500, 0.2500]],
  "crystal_system": "cubic",
  "e_tot_ha_per_atom": -0.1281,
  "space_group": "F-43m (216)"
}

Record 14
{
  "formula": "ErPtNO",
  "functional": "PBE",
  "state": "optimized geometry",
  "cell": [[6.8155, 0.0000, 0.0000], [0.0000, 6.7789, 0.0000], [0.0000, 0.0000, 4.8548]],
  "species": ["Er", "Er", "Er", "Er", "N", "N", "N", "N", "O", "O", "O", "O", "Pt", "Pt", "Pt", "Pt"],
  "frac_coords": [[0.5826, 0.1591, 0.0103], [0.0826, 0.8409, 0.0103], [0.9174, 0.1591, 0.5103], [0.4174, 0.8409, 0.5103], [0.9131, 0.1375, 0.0101], [0.4131, 0.8625, 0.0101], [0.5869, 0.1375, 0.5101], [0.0869, 0.8625, 0.5101], [0.4255, 0.4301, 0.1605], [0.9255, 0.5699, 0.1605], [0.0745, 0.4301, 0.6605], [0.5745, 0.5699, 0.6605], [0.1636, 0.3053, 0.0216], [0.6636, 0.6947, 0.0216], [0.3364, 0.3053, 0.5215], [0.8364, 0.6947, 0.5215]],
  "total_magnetization_mub_per_cell": 0.01,
  "crystal_system": "orthorhombic",
  "space_group": "Pca2_1 (29)",
  "de_polymorph_ev_per_fu": 2.14
}

Record 15
{
  "formula": "LaTb2Hg3PdAu2",
  "functional": "PBE",
  "state": "optimized geometry",
  "cell": [[-0.6697, 1.1717, -3.6391], [2.4426, -7.0838, -2.7303], [-7.6673, 1.2396, 1.8102]],
  "species": ["Au", "Au", "Hg", "Hg", "Hg", "La", "Pd", "Tb", "Tb"],
  "frac_coords": [[0.5000, 0.6727, 0.3319], [0.5000, 0.3319, 0.6727], [0.5000, 0.9959, 0.2606], [0.5000, 0.7410, 0.7410], [0.5000, 0.2606, 0.9959], [0.0000, 0.3960, 0.3960], [0.0000, 0.9996, 0.9996], [0.0000, 0.9984, 0.6039], [0.0000, 0.6039, 0.9984]],
  "total_magnetization_mub_per_cell": 0.01,
  "crystal_system": "orthorhombic",
  "formation_energy_ev_per_atom": -0.679,
  "space_group": "Amm2 (38)"
}

Record 16
{
  "formula": "NbTlAgTe3",
  "functional": "PBE",
  "state": "optimized geometry",
  "cell": [[7.8767, -1.9571, 0.0000], [7.8767, 1.9571, 0.0000], [0.0000, 0.0000, 10.8507]],
  "species": ["Ag", "Ag", "Nb", "Nb", "Te", "Te", "Te", "Te", "Te", "Te", "Tl", "Tl"],
  "frac_coords": [[0.4537, 0.4537, 0.2500], [0.5463, 0.5463, 0.7500], [0.0000, 0.0000, 0.0000], [0.0000, 0.0000, 0.5000], [0.3683, 0.3683, 0.0308], [0.0781, 0.0781, 0.2500], [0.3683, 0.3683, 0.4692], [0.6317, 0.6317, 0.5308], [0.9219, 0.9219, 0.7500], [0.6317, 0.6317, 0.9692], [0.7641, 0.7641, 0.2500], [0.2359, 0.2359, 0.7500]],
  "total_magnetization_mub_per_cell": 1.88,
  "crystal_system": "orthorhombic",
  "e_tot_ha_per_atom": -0.1585,
  "space_group": "Cmcm (63)"
}

Record 17
{
  "formula": "Li2Mg2Ga2AgIr",
  "functional": "PBE",
  "state": "optimized geometry",
  "cell": [[-3.7507, -1.2385, -2.0226], [2.3702, -2.0878, -3.1169], [-0.1172, -5.3260, 3.4785]],
  "species": ["Ag", "Ga", "Ga", "Ir", "Li", "Li", "Mg", "Mg"],
  "frac_coords": [[0.0000, 0.0000, 0.0000], [0.0000, 0.5000, 0.2748], [0.5000, 0.0000, 0.7252], [0.5000, 0.5000, 0.5000], [0.5000, 0.5000, 0.0000], [0.0000, 0.0000, 0.5000], [0.5000, 0.0000, 0.2597], [0.0000, 0.5000, 0.7403]],
  "total_magnetization_mub_per_cell": 0.00,
  "crystal_system": "tetragonal",
  "e_tot_ha_per_atom": -0.1269,
  "space_group": "P-4m2 (115)"
}

Record 18
{
  "formula": "GaFeTc2",
  "functional": "PBE",
  "state": "optimized geometry",
  "cell": [[0.0000, 2.9993, 2.9993], [2.9993, 0.0000, 2.9993], [2.9993, 2.9993, 0.0000]],
  "species": ["Fe", "Ga", "Tc", "Tc"],
  "frac_coords": [[0.2500, 0.2500, 0.2500], [0.5000, 0.5000, 0.5000], [0.0000, 0.0000, 0.0000], [0.7500, 0.7500, 0.7500]],
  "total_magnetization_mub_per_cell": 2.73,
  "crystal_system": "cubic",
  "e_tot_ha_per_atom": -0.2928,
  "space_group": "F-43m (216)"
}

Record 19
{
  "formula": "NaPaFe",
  "functional": "PBE",
  "state": "optimized geometry",
  "cell": [[0.0000, 3.1973, 3.1973], [3.1973, 0.0000, 3.1973], [3.1973, 3.1973, 0.0000]],
  "species": ["Fe", "Na", "Pa"],
  "frac_coords": [[0.2500, 0.2500, 0.2500], [0.7500, 0.7500, 0.7500], [0.0000, 0.0000, 0.0000]],
  "total_magnetization_mub_per_cell": 0.04,
  "crystal_system": "cubic",
  "space_group": "F-43m (216)",
  "de_polymorph_ev_per_fu": 1.80
}

Record 20
{
  "formula": "TaBiAsO",
  "functional": "PBE",
  "state": "optimized geometry",
  "cell": [[-2.5988, -2.1217, 1.0104], [4.6990, -5.7322, 0.0493], [1.5707, 1.3466, 6.8676]],
  "species": ["As", "As", "Bi", "Bi", "O", "O", "Ta", "Ta"],
  "frac_coords": [[0.0000, 0.3125, 0.4400], [0.0000, 0.6875, 0.9400], [0.0000, 0.2825, 0.0592], [0.0000, 0.7175, 0.5592], [0.5000, 0.9228, 0.2587], [0.5000, 0.0772, 0.7587], [0.5000, 0.0639, 0.4961], [0.5000, 0.9361, 0.9961]],
  "total_magnetization_mub_per_cell": 0.02,
  "crystal_system": "orthorhombic",
  "space_group": "Pmc2_1 (26)",
  "de_polymorph_ev_per_fu": 0.00
}